# 1
Ba4SrAc3Te8, optimized geometry, DFT PBE; E_form (uncorrected) = -26.74 eV per formula unit; space-group type = No. 166; DOS at the Fermi energy = 4.1 states/eV/cell
1.0
4.8374 2.7929 7.9908
-4.8374 2.7929 7.9908
0.0000 -5.5858 7.9908
Ba Sr Ac Te
4 1 3 8
direct
0.0000 0.0000 0.0000 Ba
0.0000 0.5000 0.5000 Ba
0.5000 0.0000 0.5000 Ba
0.5000 0.5000 0.0000 Ba
0.5000 0.5000 0.5000 Sr
0.0000 0.0000 0.5000 Ac
0.0000 0.5000 0.0000 Ac
0.5000 0.0000 0.0000 Ac
0.2453 0.7450 0.7450 Te
0.2456 0.2456 0.2456 Te
0.2550 0.2550 0.7547 Te
0.2550 0.7547 0.2550 Te
0.7450 0.2453 0.7450 Te
0.7450 0.7450 0.2453 Te
0.7544 0.7544 0.7544 Te
0.7547 0.2550 0.2550 Te

---

# 2
KBeHg2Pb, optimized geometry, DFT PBE; space-group type = No. 123; DOS at the Fermi energy = 2.3 states/eV/cell; ΔE_f = 0.09 eV/atom
1.0
5.1303 0.0000 0.0000
0.0000 5.1303 0.0000
0.0000 0.0000 5.1377
K Be Hg Pb
1 1 2 1
direct
0.0000 0.0000 0.0000 K
0.5000 0.5000 0.5000 Be
0.0000 0.5000 0.5000 Hg
0.5000 0.0000 0.5000 Hg
0.5000 0.5000 0.0000 Pb

---

# 3
DyY2Sc3, optimized geometry, DFT PBE; excess energy over the best structure of this formula in the dataset = 0.0 meV per atom; space-group type = No. 15; DOS at the Fermi energy = 22.0 states/eV/cell; ΔE_f = 0.22 eV/atom
1.0
4.8497 -5.5560 0.0000
4.8497 5.5560 0.0000
-2.6943 0.0000 6.3928
Dy Y Sc
2 4 6
direct
0.0000 0.0000 0.0000 Dy
0.0000 0.0000 0.5000 Dy
0.0933 0.5637 0.7666 Y
0.4363 0.9067 0.7334 Y
0.5637 0.0933 0.2666 Y
0.9067 0.4363 0.2334 Y
0.2933 0.7067 0.2500 Sc
0.3184 0.3559 0.4718 Sc
0.3559 0.3184 0.9718 Sc
0.6441 0.6816 0.0282 Sc
0.6816 0.6441 0.5282 Sc
0.7067 0.2933 0.7500 Sc

---

# 4
NiAgAu2Br, optimized geometry, DFT PBE; E_form (uncorrected) = 2.39 eV per formula unit; space-group type = No. 123; DOS at the Fermi energy = 1.8 states/eV/cell
1.0
4.9503 0.0000 0.0000
0.0000 4.9503 0.0000
0.0000 0.0000 4.5335
Ni Ag Au Br
1 1 2 1
direct
0.0000 0.0000 0.0000 Ni
0.5000 0.5000 0.5000 Ag
0.0000 0.5000 0.0000 Au
0.5000 0.0000 0.0000 Au
0.0000 0.0000 0.5000 Br

---

# 5
LaTbPr2Er2, optimized geometry, DFT PBE; space-group type = No. 58; DOS at the Fermi energy = 18.7 states/eV/cell; ΔE_f = 0.06 eV/atom
1.0
7.0919 0.0000 0.0000
0.0000 9.9638 0.0000
0.0000 0.0000 5.7250
La Tb Pr Er
2 2 4 4
direct
0.0000 0.0000 0.0000 La
0.5000 0.5000 0.5000 La
0.0000 0.5000 0.5000 Tb
0.5000 0.0000 0.0000 Tb
0.2468 0.3330 0.0000 Pr
0.2532 0.8330 0.5000 Pr
0.7468 0.1670 0.5000 Pr
0.7532 0.6670 0.0000 Pr
0.2498 0.1663 0.5000 Er
0.2502 0.6663 0.0000 Er
0.7498 0.3337 0.0000 Er
0.7502 0.8337 0.5000 Er

---

# 6
BeNiAg, optimized geometry, DFT PBE; excess energy over the best structure of this formula in the dataset = 247.2 meV per atom; space-group type = No. 216; DOS at the Fermi energy = 0.7 states/eV/cell; ΔE_f = 0.20 eV/atom
1.0
0.0000 2.6994 2.6994
2.6994 0.0000 2.6994
2.6994 2.6994 0.0000
Be Ni Ag
1 1 1
direct
0.0000 0.0000 0.0000 Be
0.7500 0.7500 0.7500 Ni
0.2500 0.2500 0.2500 Ag

---

# 7
Rb2NaBeF6, optimized geometry, DFT PBE; E_form (uncorrected) = -25.69 eV per formula unit; space-group type = No. 225; DOS at the Fermi energy = 13.6 states/eV/cell
1.0
0.0000 4.1596 4.1596
4.1596 0.0000 4.1596
4.1596 4.1596 0.0000
Rb Na Be F
2 1 1 6
direct
0.2500 0.2500 0.2500 Rb
0.7500 0.7500 0.7500 Rb
0.0000 0.0000 0.0000 Na
0.5000 0.5000 0.5000 Be
0.2853 0.2853 0.7147 F
0.2853 0.7147 0.2853 F
0.2853 0.7147 0.7147 F
0.7147 0.2853 0.2853 F
0.7147 0.2853 0.7147 F
0.7147 0.7147 0.2853 F